# GGA-PBE ZnSiAs4, relaxed
# - E (eV/cell) = -21.7
# - DOS(E_F) (states/eV per cell) = 3.80
# - formation energy without anion corrections (eV per atom) = 0.596
data_ZnSiAs4
_cell_length_a 5.5416
_cell_length_b 5.5416
_cell_length_c 5.5416
_cell_angle_alpha 60.00
_cell_angle_beta 60.00
_cell_angle_gamma 60.00
_symmetry_space_group_name_H-M 'P 1'
_symmetry_Int_Tables_number 1
loop_
_symmetry_equiv_pos_as_xyz
'x,y,z'
loop_
_atom_site_label
_atom_site_type_symbol
_atom_site_fract_x
_atom_site_fract_y
_atom_site_fract_z
Zn1 Zn 0.0000 0.0000 0.0000
Si1 Si 0.2500 0.2500 0.2500
As1 As 0.1252 0.6249 0.6249
As2 As 0.6249 0.1252 0.6249
As3 As 0.6249 0.6249 0.1252
As4 As 0.6249 0.6249 0.6249



# GGA-PBE ZnSiAs2, relaxed
# - E (eV/cell) = -14.4
# - DOS(E_F) (states/eV per cell) = 1.79
# - formation energy without anion corrections (eV per atom) = 0.396
data_ZnSiAs2
_cell_length_a 4.6276
_cell_length_b 4.6276
_cell_length_c 4.6276
_cell_angle_alpha 60.00
_cell_angle_beta 60.00
_cell_angle_gamma 60.00
_symmetry_space_group_name_H-M 'P 1'
_symmetry_Int_Tables_number 1
loop_
_symmetry_equiv_pos_as_xyz
'x,y,z'
loop_
_atom_site_label
_atom_site_type_symbol
_atom_site_fract_x
_atom_site_fract_y
_atom_site_fract_z
Zn1 Zn 0.0000 0.0000 0.0000
Si1 Si 0.5000 0.5000 0.5000
As1 As 0.2500 0.2500 0.2500
As2 As 0.7500 0.7500 0.7500



# GGA-PBE Zn2SiAs2, relaxed
# - E (eV/cell) = -15.6
# - DOS(E_F) (states/eV per cell) = 2.19
# - formation energy without anion corrections (eV per atom) = 0.331
data_Zn2SiAs2
_cell_length_a 7.1689
_cell_length_b 7.1689
_cell_length_c 7.1689
_cell_angle_alpha 149.54
_cell_angle_beta 149.54
_cell_angle_gamma 43.62
_symmetry_space_group_name_H-M 'P 1'
_symmetry_Int_Tables_number 1
loop_
_symmetry_equiv_pos_as_xyz
'x,y,z'
loop_
_atom_site_label
_atom_site_type_symbol
_atom_site_fract_x
_atom_site_fract_y
_atom_site_fract_z
Zn1 Zn 0.2500 0.7500 0.5000
Zn2 Zn 0.7500 0.2500 0.5000
Si1 Si 0.0000 0.0000 0.0000
As1 As 0.3883 0.3883 0.0000
As2 As 0.6117 0.6117 0.0000



# GGA-PBE Zn2SiAs, relaxed
# - E (eV/cell) = -11.4
# - DOS(E_F) (states/eV per cell) = 1.05
# - formation energy without anion corrections (eV per atom) = 0.309
data_Zn2SiAs
_cell_length_a 2.7937
_cell_length_b 2.7937
_cell_length_c 9.0372
_cell_angle_alpha 90.00
_cell_angle_beta 90.00
_cell_angle_gamma 109.90
_symmetry_space_group_name_H-M 'P 1'
_symmetry_Int_Tables_number 1
loop_
_symmetry_equiv_pos_as_xyz
'x,y,z'
loop_
_atom_site_label
_atom_site_type_symbol
_atom_site_fract_x
_atom_site_fract_y
_atom_site_fract_z
Zn1 Zn 0.0000 0.0000 0.0000
Zn2 Zn 0.5000 0.5000 0.2378
Si1 Si 0.5000 0.5000 0.7551
As1 As 0.0000 0.0000 0.5046



# GGA-PBE ZnSiAs2, relaxed
# - E (eV/cell) = -14.5
# - DOS(E_F) (states/eV per cell) = 1.98
# - formation energy without anion corrections (eV per atom) = 0.372
data_ZnSiAs2
_cell_length_a 2.8832
_cell_length_b 3.5136
_cell_length_c 6.9481
_cell_angle_alpha 90.00
_cell_angle_beta 90.00
_cell_angle_gamma 90.00
_symmetry_space_group_name_H-M 'P 1'
_symmetry_Int_Tables_number 1
loop_
_symmetry_equiv_pos_as_xyz
'x,y,z'
loop_
_atom_site_label
_atom_site_type_symbol
_atom_site_fract_x
_atom_site_fract_y
_atom_site_fract_z
Zn1 Zn 0.0000 0.0000 0.0000
Si1 Si 0.0000 0.0000 0.5000
As1 As 0.5000 0.5000 0.2527
As2 As 0.5000 0.5000 0.7473



# GGA-PBE ZnSi2As, relaxed
# - E (eV/cell) = -15.2
# - DOS(E_F) (states/eV per cell) = 1.04
# - formation energy without anion corrections (eV per atom) = 0.404
data_ZnSi2As
_cell_length_a 2.7964
_cell_length_b 2.7964
_cell_length_c 8.7257
_cell_angle_alpha 90.00
_cell_angle_beta 90.00
_cell_angle_gamma 106.16
_symmetry_space_group_name_H-M 'P 1'
_symmetry_Int_Tables_number 1
loop_
_symmetry_equiv_pos_as_xyz
'x,y,z'
loop_
_atom_site_label
_atom_site_type_symbol
_atom_site_fract_x
_atom_site_fract_y
_atom_site_fract_z
Zn1 Zn 0.0000 0.0000 0.0000
Si1 Si 0.0000 0.0000 0.5368
Si2 Si 0.5000 0.5000 0.7577
As1 As 0.5000 0.5000 0.2555